# PrMgSc (PBE, optimized geometry)
# **SG**: Pnma, No. 62
# **DOS at the Fermi energy**: 18.04 states/eV/cell
# **Energy of formation from the pure elements**: 0.110 eV/atom
# **Offset from the most stable computed form**: 124 meV/atom
# **Magnetic moment**: 0.00 μB/atom
data_PrMgSc
_chemical_formula_sum 'Pr4 Mg4 Sc4'
_cell_length_a 3.3121
_cell_length_b 8.8115
_cell_length_c 11.9486
_cell_angle_alpha 90.00
_cell_angle_beta 90.00
_cell_angle_gamma 90.00
_symmetry_space_group_name_H-M 'P 1'
_symmetry_Int_Tables_number 1
_symmetry_space_group_name_Hall 'P 1'
loop_
_atom_site_label
_atom_site_type_symbol
_atom_site_fract_x
_atom_site_fract_y
_atom_site_fract_z
Sc1 Sc 0.7500 0.9816 0.3912
Sc2 Sc 0.2500 0.4816 0.1088
Sc3 Sc 0.7500 0.5184 0.8912
Sc4 Sc 0.2500 0.0184 0.6088
Pr1 Pr 0.7500 0.8238 0.0775
Pr2 Pr 0.2500 0.1762 0.9225
Pr3 Pr 0.7500 0.6762 0.5775
Pr4 Pr 0.2500 0.3238 0.4225
Mg1 Mg 0.7500 0.3124 0.6801
Mg2 Mg 0.7500 0.1876 0.1801
Mg3 Mg 0.2500 0.6876 0.3199
Mg4 Mg 0.2500 0.8124 0.8199


# PrMgSc3 (PBE, optimized geometry)
# **SG**: Cmcm, No. 63
# **DOS at the Fermi energy**: 14.62 states/eV/cell
# **Energy of formation from the pure elements**: 0.071 eV/atom
# **Magnetic moment**: 0.00 μB/atom
data_PrMgSc3
_chemical_formula_sum 'Pr2 Mg2 Sc6'
_cell_length_a 5.4008
_cell_length_b 6.5965
_cell_length_c 8.1020
_cell_angle_alpha 90.00
_cell_angle_beta 109.47
_cell_angle_gamma 90.00
_symmetry_space_group_name_H-M 'P 1'
_symmetry_Int_Tables_number 1
_symmetry_space_group_name_Hall 'P 1'
loop_
_atom_site_label
_atom_site_type_symbol
_atom_site_fract_x
_atom_site_fract_y
_atom_site_fract_z
Pr1 Pr 0.8879 0.7500 0.7757
Pr2 Pr 0.1121 0.2500 0.2243
Mg1 Mg 0.5097 0.7500 0.0193
Mg2 Mg 0.4903 0.2500 0.9807
Sc1 Sc 0.6914 0.9975 0.3828
Sc2 Sc 0.3086 0.0025 0.6172
Sc3 Sc 0.3086 0.4975 0.6172
Sc4 Sc 0.6914 0.5025 0.3828
Sc5 Sc 0.1322 0.7500 0.2644
Sc6 Sc 0.8678 0.2500 0.7356


# PrMg4Sc (PBE, optimized geometry)
# **SG**: P2/m, No. 10
# **DOS at the Fermi energy**: 4.55 states/eV/cell
# **Energy of formation from the pure elements**: -0.053 eV/atom
# **Offset from the most stable computed form**: 0 meV/atom
# **Magnetic moment**: 0.00 μB/atom
data_PrMg4Sc
_chemical_formula_sum 'Pr1 Mg4 Sc1'
_cell_length_a 3.2391
_cell_length_b 9.1009
_cell_length_c 6.1167
_cell_angle_alpha 89.98
_cell_angle_beta 57.96
_cell_angle_gamma 89.97
_symmetry_space_group_name_H-M 'P 1'
_symmetry_Int_Tables_number 1
_symmetry_space_group_name_Hall 'P 1'
loop_
_atom_site_label
_atom_site_type_symbol
_atom_site_fract_x
_atom_site_fract_y
_atom_site_fract_z
Pr1 Pr 0.5000 0.5000 0.5000
Mg1 Mg 0.4998 0.6815 0.9997
Mg2 Mg 0.5002 0.3185 0.0003
Mg3 Mg 0.0038 0.1570 0.5005
Mg4 Mg 0.9962 0.8430 0.4995
Sc1 Sc 0.0000 0.0000 0.0000


# Pr3Mg2Sc2 (PBE, optimized geometry)
# **SG**: Cmmm, No. 65
# **DOS at the Fermi energy**: 8.67 states/eV/cell
# **Energy of formation from the pure elements**: 0.022 eV/atom
# **Magnetic moment**: 0.06 μB/atom
data_Pr3Mg2Sc2
_chemical_formula_sum 'Pr3 Mg2 Sc2'
_cell_length_a 5.1731
_cell_length_b 3.4637
_cell_length_c 11.8584
_cell_angle_alpha 90.00
_cell_angle_beta 77.40
_cell_angle_gamma 90.00
_symmetry_space_group_name_H-M 'P 1'
_symmetry_Int_Tables_number 1
_symmetry_space_group_name_Hall 'P 1'
loop_
_atom_site_label
_atom_site_type_symbol
_atom_site_fract_x
_atom_site_fract_y
_atom_site_fract_z
Pr1 Pr 0.8454 0.0000 0.3092
Pr2 Pr 0.0000 0.0000 0.0000
Pr3 Pr 0.1546 0.0000 0.6908
Mg1 Mg 0.5732 0.5000 0.8535
Mg2 Mg 0.4268 0.5000 0.1465
Sc1 Sc 0.7153 0.5000 0.5694
Sc2 Sc 0.2847 0.5000 0.4306


# PrMgSc (PBE, optimized geometry)
# **SG**: P4/nmm, No. 129
# **DOS at the Fermi energy**: 9.80 states/eV/cell
# **Energy of formation from the pure elements**: 0.021 eV/atom
# **Offset from the most stable computed form**: 35 meV/atom
# **Magnetic moment**: 0.00 μB/atom
data_PrMgSc
_chemical_formula_sum 'Pr2 Mg2 Sc2'
_cell_length_a 3.4527
_cell_length_b 3.4527
_cell_length_c 14.8117
_cell_angle_alpha 76.50
_cell_angle_beta 76.50
_cell_angle_gamma 89.96
_symmetry_space_group_name_H-M 'P 1'
_symmetry_Int_Tables_number 1
_symmetry_space_group_name_Hall 'P 1'
loop_
_atom_site_label
_atom_site_type_symbol
_atom_site_fract_x
_atom_site_fract_y
_atom_site_fract_z
Pr1 Pr 0.8725 0.2877 0.7684
Pr2 Pr 0.5811 0.9962 0.5600
Mg1 Mg 0.9079 0.3228 0.2338
Mg2 Mg 0.5465 0.9614 0.0945
Sc1 Sc 0.1971 0.6124 0.9436
Sc2 Sc 0.2565 0.6716 0.3848


# PrMg3Sc2 (PBE, optimized geometry)
# **SG**: P4/mmm, No. 123
# **DOS at the Fermi energy**: 8.79 states/eV/cell
# **Energy of formation from the pure elements**: -0.048 eV/atom
# **Magnetic moment**: 0.00 μB/atom
data_PrMg3Sc2
_chemical_formula_sum 'Pr1 Mg3 Sc2'
_cell_length_a 3.6736
_cell_length_b 3.6736
_cell_length_c 11.3035
_cell_angle_alpha 90.00
_cell_angle_beta 90.00
_cell_angle_gamma 90.00
_symmetry_space_group_name_H-M 'P 1'
_symmetry_Int_Tables_number 1
_symmetry_space_group_name_Hall 'P 1'
loop_
_atom_site_label
_atom_site_type_symbol
_atom_site_fract_x
_atom_site_fract_y
_atom_site_fract_z
Pr1 Pr 0.5000 0.5000 0.5000
Mg1 Mg 0.0000 0.0000 0.0000
Mg2 Mg 0.0000 0.0000 0.6929
Mg3 Mg 0.0000 0.0000 0.3071
Sc1 Sc 0.5000 0.5000 0.8456
Sc2 Sc 0.5000 0.5000 0.1544


# Pr7Mg4Sc (PBE, optimized geometry)
# **SG**: C2/m, No. 12
# **DOS at the Fermi energy**: 13.27 states/eV/cell
# **Energy of formation from the pure elements**: 0.115 eV/atom
# **Magnetic moment**: 0.00 μB/atom
data_Pr7Mg4Sc
_chemical_formula_sum 'Pr7 Mg4 Sc1'
_cell_length_a 5.8129
_cell_length_b 9.3485
_cell_length_c 8.2878
_cell_angle_alpha 67.46
_cell_angle_beta 69.47
_cell_angle_gamma 71.89
_symmetry_space_group_name_H-M 'P 1'
_symmetry_Int_Tables_number 1
_symmetry_space_group_name_Hall 'P 1'
loop_
_atom_site_label
_atom_site_type_symbol
_atom_site_fract_x
_atom_site_fract_y
_atom_site_fract_z
Pr1 Pr 0.8076 0.8798 0.5051
Pr2 Pr 0.1924 0.1202 0.4949
Pr3 Pr 0.0860 0.5679 0.2600
Pr4 Pr 0.9140 0.4321 0.7400
Pr5 Pr 0.2460 0.7234 0.7846
Pr6 Pr 0.5000 0.0000 0.0000
Pr7 Pr 0.7540 0.2766 0.2154
Mg1 Mg 0.5395 0.3097 0.6113
Mg2 Mg 0.4605 0.6903 0.3887
Mg3 Mg 0.6725 0.6513 0.0038
Mg4 Mg 0.3275 0.3487 0.9962
Sc1 Sc 0.0000 0.0000 0.0000


# PrMg6Sc (PBE, optimized geometry)
# **SG**: P4/mmm, No. 123
# **DOS at the Fermi energy**: 7.90 states/eV/cell
# **Energy of formation from the pure elements**: -0.049 eV/atom
# **Magnetic moment**: 0.00 μB/atom
data_PrMg6Sc
_chemical_formula_sum 'Pr1 Mg6 Sc1'
_cell_length_a 4.6737
_cell_length_b 4.6737
_cell_length_c 9.2087
_cell_angle_alpha 90.00
_cell_angle_beta 90.00
_cell_angle_gamma 90.00
_symmetry_space_group_name_H-M 'P 1'
_symmetry_Int_Tables_number 1
_symmetry_space_group_name_Hall 'P 1'
loop_
_atom_site_label
_atom_site_type_symbol
_atom_site_fract_x
_atom_site_fract_y
_atom_site_fract_z
Pr1 Pr 0.0000 0.0000 0.0000
Mg1 Mg 0.5000 0.5000 0.0000
Mg2 Mg 0.5000 0.5000 0.5000
Mg3 Mg 0.5000 0.0000 0.2628
Mg4 Mg 0.5000 0.0000 0.7372
Mg5 Mg 0.0000 0.5000 0.2628
Mg6 Mg 0.0000 0.5000 0.7372
Sc1 Sc 0.0000 0.0000 0.5000


# Pr4MgSc3 (PBE, optimized geometry)
# **SG**: Fmmm, No. 69
# **DOS at the Fermi energy**: 11.48 states/eV/cell
# **Energy of formation from the pure elements**: 0.036 eV/atom
# **Magnetic moment**: 0.00 μB/atom
data_Pr4MgSc3
_chemical_formula_sum 'Pr4 Mg1 Sc3'
_cell_length_a 5.1788
_cell_length_b 5.1783
_cell_length_c 9.6768
_cell_angle_alpha 105.56
_cell_angle_beta 105.56
_cell_angle_gamma 90.02
_symmetry_space_group_name_H-M 'P 1'
_symmetry_Int_Tables_number 1
_symmetry_space_group_name_Hall 'P 1'
loop_
_atom_site_label
_atom_site_type_symbol
_atom_site_fract_x
_atom_site_fract_y
_atom_site_fract_z
Pr1 Pr 0.3752 0.3751 0.7500
Pr2 Pr 0.6248 0.6249 0.2500
Pr3 Pr 0.1249 0.1248 0.2500
Pr4 Pr 0.8751 0.8752 0.7500
Sc1 Sc 0.0000 0.5000 0.0000
Sc2 Sc 0.7523 0.2523 0.5044
Sc3 Sc 0.2477 0.7477 0.4956
Mg1 Mg 0.5000 0.0000 0.0000


# PrMgSc (PBE, optimized geometry)
# **SG**: I4mm, No. 107
# **DOS at the Fermi energy**: 4.51 states/eV/cell
# **Energy of formation from the pure elements**: -0.014 eV/atom
# **Offset from the most stable computed form**: 0 meV/atom
# **Magnetic moment**: 0.12 μB/atom
data_PrMgSc
_chemical_formula_sum 'Pr1 Mg1 Sc1'
_cell_length_a 3.5791
_cell_length_b 3.5791
_cell_length_c 7.0196
_cell_angle_alpha 104.77
_cell_angle_beta 104.77
_cell_angle_gamma 90.00
_symmetry_space_group_name_H-M 'P 1'
_symmetry_Int_Tables_number 1
_symmetry_space_group_name_Hall 'P 1'
loop_
_atom_site_label
_atom_site_type_symbol
_atom_site_fract_x
_atom_site_fract_y
_atom_site_fract_z
Pr1 Pr 0.9990 0.9990 0.9979
Sc1 Sc 0.3224 0.3224 0.6449
Mg1 Mg 0.6786 0.6786 0.3572


# Pr4Mg2Sc (PBE, optimized geometry)
# **SG**: I4/mmm, No. 139
# **DOS at the Fermi energy**: 8.60 states/eV/cell
# **Energy of formation from the pure elements**: 0.136 eV/atom
# **Magnetic moment**: 0.00 μB/atom
data_Pr4Mg2Sc
_chemical_formula_sum 'Pr4 Mg2 Sc1'
_cell_length_a 6.7189
_cell_length_b 6.7189
_cell_length_c 6.7189
_cell_angle_alpha 105.13
_cell_angle_beta 111.69
_cell_angle_gamma 111.69
_symmetry_space_group_name_H-M 'P 1'
_symmetry_Int_Tables_number 1
_symmetry_space_group_name_Hall 'P 1'
loop_
_atom_site_label
_atom_site_type_symbol
_atom_site_fract_x
_atom_site_fract_y
_atom_site_fract_z
Pr1 Pr 0.5000 0.0000 0.0000
Pr2 Pr 0.5000 0.5000 0.5000
Pr3 Pr 0.0000 0.0000 0.5000
Pr4 Pr 0.0000 0.5000 0.0000
Mg1 Mg 0.5000 0.5000 0.0000
Mg2 Mg 0.5000 0.0000 0.5000
Sc1 Sc 0.0000 0.0000 0.0000


# PrMg9Sc2 (PBE, optimized geometry)
# **SG**: R-3m, No. 166
# **DOS at the Fermi energy**: 11.49 states/eV/cell
# **Energy of formation from the pure elements**: -0.008 eV/atom
# **Magnetic moment**: 0.00 μB/atom
data_PrMg9Sc2
_chemical_formula_sum 'Pr1 Mg9 Sc2'
_cell_length_a 5.9471
_cell_length_b 5.9471
_cell_length_c 10.2392
_cell_angle_alpha 73.12
_cell_angle_beta 73.12
_cell_angle_gamma 60.00
_symmetry_space_group_name_H-M 'P 1'
_symmetry_Int_Tables_number 1
_symmetry_space_group_name_Hall 'P 1'
loop_
_atom_site_label
_atom_site_type_symbol
_atom_site_fract_x
_atom_site_fract_y
_atom_site_fract_z
Pr1 Pr 0.0000 0.0000 0.0000
Mg1 Mg 0.6658 0.6658 0.0025
Mg2 Mg 0.3342 0.3342 0.9975
Mg3 Mg 0.5000 0.5000 0.5000
Mg4 Mg 0.4100 0.4100 0.2604
Mg5 Mg 0.9196 0.4100 0.2604
Mg6 Mg 0.4100 0.9196 0.2604
Mg7 Mg 0.5900 0.5900 0.7396
Mg8 Mg 0.5900 0.0804 0.7396
Mg9 Mg 0.0804 0.5900 0.7396
Sc1 Sc 0.8536 0.8536 0.4393
Sc2 Sc 0.1464 0.1464 0.5607